Entry 1:
12
Lattice="-3.433 -2.229 3.898 4.377 -0.852 3.368 -2.974 5.798 0.696" Properties=species:S:1:pos:R:3 comment="DyZnGaNi3 PBE relaxed" formation_enthalpy_0k_ev_per_atom=-0.222 space_group=Cmcm pbc="T T T"
Dy -3.063 1.672 4.404
Dy 1.034 1.045 3.557
Zn 0.668 3.542 4.663
Zn -2.698 -0.825 3.298
Ga -1.418 3.272 2.671
Ga -0.611 -0.555 5.291
Ni -1.086 1.004 1.666
Ni 1.256 -0.244 0.967
Ni 1.405 -1.722 4.350
Ni -0.460 -1.359 2.915
Ni 3.121 -0.607 2.401
Ni -0.943 1.713 6.295

***

Entry 2:
8
Lattice="-0.379 1.703 -3.720 -3.714 0.390 -1.712 -2.159 7.831 1.536" Properties=species:S:1:pos:R:3 comment="DyZn2GaNi4 PBE relaxed" formation_enthalpy_0k_ev_per_atom=-0.311 space_group=R-3m pbc="T T T"
Dy 0.000 0.000 0.000
Zn -4.672 7.293 -2.992
Zn -1.580 2.631 -0.904
Ga -3.126 4.962 -1.948
Ni -3.359 7.057 -0.965
Ni -4.400 4.848 -4.139
Ni -1.852 5.076 0.244
Ni -2.893 2.867 -2.931

***

Entry 3:
10
Lattice="-2.586 -1.792 2.310 0.946 -3.431 -1.602 7.566 -1.371 7.408" Properties=species:S:1:pos:R:3 comment="Dy2ZnGa3Ni4 PBE relaxed" formation_enthalpy_0k_ev_per_atom=-0.519 space_group=P-4m2 pbc="T T T"
Dy 0.645 -1.247 3.052
Dy 6.101 -2.735 4.710
Zn 2.963 -3.297 4.058
Ga 3.783 -0.686 3.704
Ga 5.273 -2.086 7.583
Ga 1.474 -1.897 0.179
Ni -0.820 -2.611 0.354
Ni 0.000 0.000 0.000
Ni 3.571 -1.777 5.917
Ni 3.175 -2.205 1.845

***

Entry 4:
20
Lattice="3.499 0.000 0.000 0.000 9.319 0.000 0.000 0.000 9.319" Properties=species:S:1:pos:R:3 comment="Dy2Zn2GaNi5 PBE relaxed" formation_enthalpy_0k_ev_per_atom=-0.307 space_group=P4/mbm pbc="T T T"
Dy 0.000 6.310 1.650
Dy 0.000 3.009 7.669
Dy 0.000 1.650 3.009
Dy 0.000 7.669 6.310
Zn 0.000 1.123 5.783
Zn 0.000 8.195 3.536
Zn 0.000 5.783 8.195
Zn 0.000 3.536 1.123
Ga 0.000 0.000 0.000
Ga 0.000 4.659 4.659
Ni 1.750 1.866 0.534
Ni 1.750 7.453 8.785
Ni 1.750 0.534 7.453
Ni 1.750 6.526 4.126
Ni 1.750 8.785 1.866
Ni 1.750 2.793 5.193
Ni 1.750 5.193 6.526
Ni 1.750 4.126 2.793
Ni 1.750 4.659 0.000
Ni 1.750 0.000 4.659

***

Entry 5:
15
Lattice="5.126 0.000 0.000 -2.563 4.439 0.000 0.000 0.000 11.371" Properties=species:S:1:pos:R:3 comment="Dy3Zn2GaNi9 PBE relaxed" formation_enthalpy_0k_ev_per_atom=-0.127 space_group=P-3m1 pbc="T T T"
Dy 0.000 2.960 8.697
Dy 0.000 0.000 0.000
Dy 2.563 1.480 2.674
Zn 0.000 2.960 1.910
Zn 2.563 1.480 9.461
Ga 0.000 0.000 5.685
Ni 3.814 0.758 7.512
Ni 2.563 2.924 7.512
Ni 1.313 0.758 7.512
Ni 1.251 3.682 3.859
Ni 0.000 1.516 3.859
Ni -1.251 3.682 3.859
Ni 2.563 0.000 0.000
Ni -1.282 2.220 0.000
Ni 1.282 2.220 0.000

***

Entry 6:
8
Lattice="-3.161 2.211 -1.513 -3.900 -1.186 0.741 -2.445 5.179 7.000" Properties=species:S:1:pos:R:3 comment="DyZnGa4Ni2 PBE relaxed" formation_enthalpy_0k_ev_per_atom=-0.338 space_group=R-3m pbc="T T T"
Dy 0.000 0.000 0.000
Zn -4.753 3.102 3.114
Ga -4.781 4.570 5.316
Ga -7.094 2.801 1.893
Ga -2.412 3.403 4.335
Ga -4.725 1.634 0.912
Ni -7.125 4.402 4.295
Ni -2.381 1.801 1.933